(i)
DFT (PBE) results for ZnCu8Ge2 after structural relaxation.

Unit cell a=6.212 b=6.212 c=4.073 alpha=93.51 beta=93.51 gamma=106.26
Element x y z (fractional)
Zn 0.000 0.000 0.000
Cu 0.039 0.299 0.532
Cu 0.246 0.754 0.000
Cu 0.299 0.039 0.532
Cu 0.332 0.332 0.033
Cu 0.668 0.668 0.967
Cu 0.701 0.961 0.468
Cu 0.754 0.246 0.000
Cu 0.961 0.701 0.468
Ge 0.365 0.635 0.500
Ge 0.635 0.365 0.500

Computed properties:
Fermi-level density of states: 3.43 states/eV per cell


(ii)
DFT (PBE) results for ZnCu8Ge2 after structural relaxation.

Unit cell a=6.850 b=6.850 c=6.850 alpha=147.26 beta=121.21 gamma=68.95
Element x y z (fractional)
Zn 0.000 0.000 0.000
Cu 0.108 0.841 0.267
Cu 0.159 0.659 0.500
Cu 0.277 0.500 0.777
Cu 0.427 0.159 0.267
Cu 0.573 0.841 0.733
Cu 0.723 0.500 0.223
Cu 0.841 0.341 0.500
Cu 0.892 0.159 0.733
Ge 0.323 0.323 0.000
Ge 0.677 0.677 0.000

Computed properties:
Fermi-level density of states: 2.67 states/eV per cell


The calculated energies rank the structures as follows, beginning with the most stable: (ii), (i).


(i)
DFT (PBE) results for ZnCu2Ge2 after structural relaxation.

Unit cell a=7.125 b=7.125 c=3.098 alpha=90.00 beta=90.00 gamma=90.00
Element x y z (fractional)
Zn 0.000 0.000 0.000
Zn 0.500 0.500 0.000
Cu 0.126 0.374 0.000
Cu 0.374 0.874 0.000
Cu 0.626 0.126 0.000
Cu 0.874 0.626 0.000
Ge 0.173 0.673 0.500
Ge 0.327 0.173 0.500
Ge 0.673 0.827 0.500
Ge 0.827 0.327 0.500

Computed properties:
Fermi-level density of states: 3.63 states/eV per cell


(ii)
DFT (PBE) results for ZnCu2Ge2 after structural relaxation.

Unit cell a=7.876 b=7.876 c=2.578 alpha=90.00 beta=90.00 gamma=90.00
Element x y z (fractional)
Zn 0.000 0.000 0.000
Zn 0.500 0.500 0.000
Cu 0.157 0.343 0.500
Cu 0.343 0.843 0.500
Cu 0.657 0.157 0.500
Cu 0.843 0.657 0.500
Ge 0.141 0.641 0.000
Ge 0.359 0.141 0.000
Ge 0.641 0.859 0.000
Ge 0.859 0.359 0.000

Computed properties:
Fermi-level density of states: 4.23 states/eV per cell


The calculated energies rank the structures as follows, beginning with the most stable: (i), (ii).